VASP calculation (PBE) on a relaxed MgBeAlCu crystal.

Its volume is 13.65 Å³/atom. The calculation puts the energy relative to the lowest polymorph listed for this composition at 0.00 eV per formula unit. The total DFT energy (no corrections) is -12.47 eV per cell.

```
MgBeAlCu
1.0
0.7076 -2.1044 3.6331
1.8692 1.9763 3.2756
-2.2573 0.9478 3.4836
Cu Mg Al Be
1 1 1 1
direct
0.7500 0.7500 0.7500
0.5000 0.5000 0.5000
0.0000 0.0000 0.0000
0.2500 0.2500 0.2500
```



VASP calculation (PBE) on a relaxed DyYAlCo2 crystal.

Its volume is 19.32 Å³/atom. The calculation puts the energy relative to the lowest polymorph listed for this composition at 0.41 eV per formula unit. The total DFT energy (no corrections) is -30.55 eV per cell.

```
DyYAlCo2
1.0
-1.1308 0.5315 3.6945
2.0128 -6.3845 1.5346
4.9993 -4.1977 2.1341
Co Al Y Dy
2 1 1 1
direct
0.0000 0.2020 0.2020
0.0000 0.7998 0.7998
0.0000 0.9997 0.9997
0.5000 0.6329 0.6329
0.5000 0.3657 0.3657
```



VASP calculation (PBE) on a relaxed Mg2HgO4 crystal.

Its volume is 12.13 Å³/atom. The total DFT energy (no corrections) is -64.96 eV per cell.

```
Mg2HgO4
1.0
4.3941 -4.3955 0.0000
-4.3941 0.0000 -4.3955
4.3941 4.3955 0.0000
O Hg Mg
8 2 4
direct
0.1417 0.2836 0.4253
0.6083 0.2164 0.8247
0.1753 0.7836 0.3917
0.6081 0.2164 0.3917
0.5747 0.7164 0.8583
0.6083 0.7836 0.3919
0.1419 0.2836 0.8583
0.1417 0.7164 0.8581
0.0000 0.0000 0.0000
0.7500 0.5000 0.2500
0.3750 0.7500 0.1250
0.8750 0.2500 0.6250
0.3750 0.7500 0.6250
0.3750 0.2500 0.6250
```



VASP calculation (PBE) on a relaxed PrAg2Au2 crystal.

Its volume is 22.46 Å³/atom. The value obtained for the energy of formation is -0.23 eV/atom. The total DFT energy (no corrections) is -18.11 eV per cell.

```
PrAg2Au2
1.0
-2.7344 -3.0532 5.2328
-4.8307 2.5714 3.7727
1.6609 -1.0302 -6.3530
Ag Au Pr
2 2 1
direct
0.3904 0.3904 0.0000
0.6096 0.6096 0.0000
0.7500 0.2500 0.5000
0.2500 0.7500 0.5000
0.0000 0.0000 0.0000
```



VASP calculation (PBE) on a relaxed TaGaB4 crystal.

Its volume is 9.38 Å³/atom. The calculation puts the energy relative to the lowest polymorph listed for this composition at 0.68 eV per formula unit. The total DFT energy (no corrections) is -42.09 eV per cell.

```
TaGaB4
1.0
-1.5073 2.5959 3.5969
1.5073 -2.5959 3.5969
1.5073 2.5959 -3.5969
B Ta Ga
4 1 1
direct
0.5821 0.2475 0.3346
0.0871 0.7525 0.3346
0.9129 0.2475 0.6654
0.4179 0.7525 0.6654
0.0000 0.0000 0.0000
0.5000 0.5000 0.0000
```



VASP calculation (PBE) on a relaxed MgCdSeO crystal.

Its volume is 20.77 Å³/atom. The calculation puts the energy relative to the lowest polymorph listed for this composition at 3.56 eV per formula unit. The total DFT energy (no corrections) is -26.39 eV per cell.

```
MgCdSeO
1.0
3.7892 0.0000 0.0000
0.0000 3.7892 0.0000
0.0000 0.0000 11.5711
Se Mg Cd O
2 2 2 2
direct
0.7500 0.7500 0.8559
0.2500 0.2500 0.1441
0.2500 0.7500 0.0000
0.7500 0.2500 0.0000
0.2500 0.2500 0.5916
0.7500 0.7500 0.4084
0.7500 0.7500 0.5971
0.2500 0.2500 0.4029
```



VASP calculation (PBE) on a relaxed KCoReAu crystal.

Its volume is 16.84 Å³/atom. The calculation puts the energy relative to the lowest polymorph listed for this composition at 0.45 eV per formula unit. The total DFT energy (no corrections) is -17.88 eV per cell.

```
KCoReAu
1.0
-2.1319 1.4586 3.7669
0.7863 4.2115 1.5834
-3.2465 3.1981 -0.3066
Au Co Re K
1 1 1 1
direct
0.7500 0.7500 0.7500
0.5000 0.5000 0.5000
0.2500 0.2500 0.2500
0.0000 0.0000 0.0000
```



VASP calculation (PBE) on a relaxed DyHoRe crystal.

Its volume is 25.39 Å³/atom. The value obtained for the energy of formation is 1.14 eV/atom. The total DFT energy (no corrections) is -18.17 eV per cell.

```
DyHoRe
1.0
0.0000 3.3647 3.3647
3.3647 0.0000 3.3647
3.3647 3.3647 0.0000
Re Dy Ho
1 1 1
direct
0.7500 0.7500 0.7500
0.0000 0.0000 0.0000
0.2500 0.2500 0.2500
```